First-principles (GGA-PBE) data for Tb10Er4Pu after structural relaxation, as listed in the Alexandria database.

Summary:
For the formation energy, the calculation gives 3.8 eV per formula unit. The calculation puts the density of states at the Fermi level at 20.876 states/eV/cell. The space group is No. 139. The density is 8.57 g cm⁻³. As for the raw total energy: -5.0045 eV/atom.

a b c (Å): 7.673 8.828 8.828
angles (deg): 79.11 64.24 64.24
Site moments in Bohr magnetons follow the coordinates.
Fractional coordinates of all 15 atoms:
Er (0.767, 0.465, 0.000)  0.04
Er (0.232, 0.000, 0.535)  0.04
Er (0.768, 0.000, 0.465)  0.04
Er (0.233, 0.535, 0.000)  0.04
Tb (0.250, 0.500, 0.500)  -0.03
Tb (0.750, 0.500, 0.500)  -0.03
Tb (0.715, 0.790, 0.210)  0.11
Tb (0.285, 0.210, 0.790)  0.11
Tb (0.495, 0.790, 0.790)  0.11
Tb (0.924, 0.790, 0.790)  0.11
Tb (0.285, 0.790, 0.210)  0.11
Tb (0.076, 0.210, 0.210)  0.11
Tb (0.715, 0.210, 0.790)  0.11
Tb (0.505, 0.210, 0.210)  0.11
Pu (0.000, 0.000, 0.000)  5.56


First-principles (GGA-PBE) data for Tb12Er7Pu after structural relaxation, as listed in the Alexandria database.

Summary:
For the distance to the lowest polymorph of the same formula, the calculation gives 0 meV per atom. For the formation energy, the calculation gives 5.1 eV per formula unit. The calculation puts the density of states at the Fermi level at 39.332 states/eV/cell. The space group is No. 148. The density is 8.55 g cm⁻³. As for the raw total energy: -4.8373 eV/atom.

a b c (Å): 8.642 8.642 8.642
angles (deg): 90.77 90.77 90.77
Site moments in Bohr magnetons follow the coordinates.
Fractional coordinates of all 20 atoms:
Tb (0.650, 0.547, 0.876)  0.14
Tb (0.775, 0.232, 0.626)  0.08
Tb (0.124, 0.350, 0.453)  0.14
Tb (0.225, 0.768, 0.374)  0.08
Tb (0.876, 0.650, 0.547)  0.14
Tb (0.547, 0.876, 0.650)  0.14
Tb (0.374, 0.225, 0.768)  0.08
Tb (0.453, 0.124, 0.350)  0.14
Tb (0.350, 0.453, 0.124)  0.14
Tb (0.626, 0.775, 0.232)  0.08
Tb (0.768, 0.374, 0.225)  0.08
Tb (0.232, 0.626, 0.775)  0.08
Er (0.974, 0.674, 0.067)  -0.07
Er (0.933, 0.026, 0.326)  -0.07
Er (0.326, 0.933, 0.026)  -0.07
Er (0.026, 0.326, 0.933)  -0.07
Er (0.500, 0.500, 0.500)  -0.01
Er (0.674, 0.067, 0.974)  -0.07
Er (0.067, 0.974, 0.674)  -0.07
Pu (0.000, 0.000, 0.000)  -5.70


First-principles (GGA-PBE) data for TbEr4Pu after structural relaxation, as listed in the Alexandria database.

Summary:
For the distance to the lowest polymorph of the same formula, the calculation gives 676 meV per atom. For the formation energy, the calculation gives 4.3 eV per formula unit. The calculation puts the density of states at the Fermi level at 17.238 states/eV/cell. The space group is No. 109. The density is 8.39 g cm⁻³. As for the raw total energy: -5.4809 eV/atom.

a b c (Å): 8.638 8.638 8.638
angles (deg): 98.61 98.61 134.46
Site moments in Bohr magnetons follow the coordinates.
Fractional coordinates of all 12 atoms:
Tb (0.228, 0.228, 0.000)  0.01
Tb (0.978, 0.478, 0.500)  0.01
Er (0.283, 0.510, 0.773)  0.12
Er (0.260, 0.988, 0.727)  0.12
Er (0.749, 0.002, 0.253)  0.26
Er (0.749, 0.497, 0.747)  0.26
Er (0.752, 0.999, 0.753)  0.26
Er (0.738, 0.510, 0.227)  0.12
Er (0.260, 0.533, 0.273)  0.12
Er (0.247, 0.999, 0.247)  0.26
Pu (0.752, 0.752, 0.000)  5.60
Pu (0.502, 0.002, 0.500)  5.60


First-principles (GGA-PBE) data for TbEr2Pu after structural relaxation, as listed in the Alexandria database.

Summary:
For the distance to the lowest polymorph of the same formula, the calculation gives 45 meV per atom. For the formation energy, the calculation gives 0.5 eV per formula unit. The calculation puts the density of states at the Fermi level at 15.864 states/eV/cell. The space group is No. 123. The density is 10.17 g cm⁻³. As for the raw total energy: -6.8865 eV/atom.

a b c (Å): 4.945 4.935 4.935
angles (deg): 90.00 90.00 90.00
Site moments in Bohr magnetons follow the coordinates.
Fractional coordinates of all 4 atoms:
Er (0.000, 0.500, 0.000)  0.14
Er (0.000, 0.000, 0.500)  0.14
Pu (0.500, 0.500, 0.500)  5.47
Tb (0.500, 0.000, 0.000)  0.11


First-principles (GGA-PBE) data for Tb8Er4Pu after structural relaxation, as listed in the Alexandria database.

Summary:
For the formation energy, the calculation gives 6.6 eV per formula unit. The calculation puts the density of states at the Fermi level at 18.626 states/eV/cell. The space group is No. 166. The density is 7.95 g cm⁻³. As for the raw total energy: -4.8492 eV/atom.

a b c (Å): 7.697 7.697 7.697
angles (deg): 90.12 90.12 90.12
Site moments in Bohr magnetons follow the coordinates.
Fractional coordinates of all 13 atoms:
Er (0.000, 0.000, 0.000)  -0.22
Er (0.500, 0.500, 0.000)  0.14
Er (0.500, 0.000, 0.500)  0.14
Er (0.000, 0.500, 0.500)  0.14
Tb (0.756, 0.756, 0.756)  0.05
Tb (0.755, 0.244, 0.244)  0.05
Tb (0.244, 0.755, 0.244)  0.05
Tb (0.756, 0.756, 0.245)  0.05
Tb (0.756, 0.245, 0.756)  0.05
Tb (0.244, 0.244, 0.755)  0.05
Tb (0.244, 0.244, 0.244)  0.05
Tb (0.245, 0.756, 0.756)  0.05
Pu (0.500, 0.500, 0.500)  5.47


First-principles (GGA-PBE) data for TbErPu after structural relaxation, as listed in the Alexandria database.

Summary:
For the distance to the lowest polymorph of the same formula, the calculation gives 51 meV per atom. For the formation energy, the calculation gives 0.5 eV per formula unit. The calculation puts the density of states at the Fermi level at 20.360 states/eV/cell. The space group is No. 59. The density is 10.57 g cm⁻³. As for the raw total energy: -7.6837 eV/atom.

a b c (Å): 3.351 5.542 9.645
angles (deg): 90.00 90.00 90.00
Site moments in Bohr magnetons follow the coordinates.
Fractional coordinates of all 6 atoms:
Tb (0.000, 0.500, 0.398)  -0.22
Tb (0.500, 0.000, 0.602)  -0.22
Er (0.000, 0.000, 0.936)  -0.20
Er (0.500, 0.500, 0.064)  -0.20
Pu (0.500, 0.000, 0.254)  -5.61
Pu (0.000, 0.500, 0.746)  -5.61


First-principles (GGA-PBE) data for Tb2Er8Pu after structural relaxation, as listed in the Alexandria database.

Summary:
For the distance to the lowest polymorph of the same formula, the calculation gives 75 meV per atom. For the formation energy, the calculation gives 2.2 eV per formula unit. The calculation puts the density of states at the Fermi level at 20.274 states/eV/cell. The space group is No. 12. The density is 9.17 g cm⁻³. As for the raw total energy: -5.2636 eV/atom.

a b c (Å): 6.614 9.945 9.945
angles (deg): 38.30 59.96 59.96
Site moments in Bohr magnetons follow the coordinates.
Fractional coordinates of all 11 atoms:
Er (0.228, 0.345, 0.824)  -0.10
Er (0.271, 0.410, 0.410)  -0.07
Er (0.729, 0.590, 0.590)  -0.07
Er (0.772, 0.655, 0.176)  -0.10
Er (0.176, 0.756, 0.756)  0.11
Er (0.228, 0.824, 0.345)  -0.10
Er (0.772, 0.176, 0.655)  -0.10
Er (0.824, 0.244, 0.244)  0.11
Tb (0.594, 0.803, 0.803)  0.06
Tb (0.406, 0.197, 0.197)  0.06
Pu (0.000, 0.000, 0.000)  -5.64


First-principles (GGA-PBE) data for Tb7Er12Pu after structural relaxation, as listed in the Alexandria database.

Summary:
For the formation energy, the calculation gives 5.1 eV per formula unit. The calculation puts the density of states at the Fermi level at 38.375 states/eV/cell. The space group is No. 148. The density is 8.75 g cm⁻³. As for the raw total energy: -4.8219 eV/atom.

a b c (Å): 8.612 8.612 8.612
angles (deg): 90.40 90.40 90.40
Site moments in Bohr magnetons follow the coordinates.
Fractional coordinates of all 20 atoms:
Er (0.625, 0.772, 0.232)  0.12
Er (0.232, 0.625, 0.772)  0.12
Er (0.125, 0.350, 0.457)  0.19
Er (0.650, 0.543, 0.875)  0.19
Er (0.375, 0.228, 0.768)  0.12
Er (0.772, 0.232, 0.625)  0.12
Er (0.768, 0.375, 0.228)  0.12
Er (0.457, 0.125, 0.350)  0.19
Er (0.228, 0.768, 0.375)  0.12
Er (0.543, 0.875, 0.650)  0.19
Er (0.350, 0.457, 0.125)  0.19
Er (0.875, 0.650, 0.543)  0.19
Tb (0.972, 0.674, 0.068)  -0.07
Tb (0.068, 0.972, 0.674)  -0.07
Tb (0.028, 0.326, 0.932)  -0.07
Tb (0.674, 0.068, 0.972)  -0.07
Tb (0.500, 0.500, 0.500)  0.05
Tb (0.326, 0.932, 0.028)  -0.07
Tb (0.932, 0.028, 0.326)  -0.07
Pu (0.000, 0.000, 0.000)  -5.68


First-principles (GGA-PBE) data for Tb12Er7Pu after structural relaxation, as listed in the Alexandria database.

Summary:
For the distance to the lowest polymorph of the same formula, the calculation gives 494 meV per atom. For the formation energy, the calculation gives 15.0 eV per formula unit. The calculation puts the density of states at the Fermi level at 36.371 states/eV/cell. The space group is No. 229. The density is 7.64 g cm⁻³. As for the raw total energy: -4.3436 eV/atom.

a b c (Å): 9.790 9.790 9.790
angles (deg): 109.47 109.47 109.47
Site moments in Bohr magnetons follow the coordinates.
Fractional coordinates of all 20 atoms:
Tb (0.495, 0.748, 0.748)  -0.02
Tb (0.748, 0.495, 0.748)  -0.02
Tb (0.748, 0.000, 0.252)  -0.02
Tb (0.252, 0.748, 0.000)  -0.02
Tb (0.252, 0.252, 0.505)  -0.02
Tb (0.505, 0.252, 0.252)  -0.02
Tb (0.748, 0.748, 0.495)  -0.02
Tb (0.000, 0.252, 0.748)  -0.02
Tb (0.252, 0.000, 0.748)  -0.02
Tb (0.748, 0.252, 0.000)  -0.02
Tb (0.000, 0.748, 0.252)  -0.02
Tb (0.252, 0.505, 0.252)  -0.02
Er (0.500, 0.500, 0.000)  0.01
Er (0.000, 0.500, 0.000)  0.01
Er (0.000, 0.000, 0.500)  0.01
Er (0.500, 0.500, 0.500)  0.01
Er (0.500, 0.000, 0.500)  0.01
Er (0.000, 0.500, 0.500)  0.01
Er (0.500, 0.000, 0.000)  0.01
Pu (0.000, 0.000, 0.000)  -5.67


First-principles (GGA-PBE) data for Tb6ErPu after structural relaxation, as listed in the Alexandria database.

Summary:
For the distance to the lowest polymorph of the same formula, the calculation gives 147 meV per atom. For the formation energy, the calculation gives 3.0 eV per formula unit. The calculation puts the density of states at the Fermi level at 12.328 states/eV/cell. The space group is No. 12. The density is 8.86 g cm⁻³. As for the raw total energy: -5.4635 eV/atom.

a b c (Å): 6.952 6.949 7.005
angles (deg): 60.26 75.90 60.58
Site moments in Bohr magnetons follow the coordinates.
Fractional coordinates of all 8 atoms:
Tb (0.252, 0.950, 0.562)  0.10
Tb (0.740, 0.735, 0.000)  0.39
Tb (0.748, 0.050, 0.438)  0.10
Tb (0.252, 0.512, 0.438)  0.10
Tb (0.260, 0.265, 0.000)  0.39
Tb (0.748, 0.488, 0.562)  0.10
Pu (0.500, 0.500, 0.000)  5.85
Er (0.000, 0.000, 0.000)  0.37


Number 1: size of the total moment 0.4679 μB/atom. Number 2: size of the total moment 0.2097 μB/atom. Number 3: size of the total moment 1.0900 μB/atom. Number 4: size of the total moment 1.5659 μB/atom. Number 5: size of the total moment 0.5104 μB/atom. Number 6: size of the total moment 2.1667 μB/atom. Number 7: size of the total moment 0.5681 μB/atom. Number 8: size of the total moment 0.1774 μB/atom. Number 9: size of the total moment 0.3218 μB/atom. Number 10: size of the total moment 0.9600 μB/atom.